YCdTc2O8 after structural relaxation. Source: Alexandria via LeMat-Bulk, functional GGA-PBE.

The structure in extended XYZ format:
```
12
Lattice="6.1680 0.0000 0.0000 -3.0840 5.3417 0.0000 0.0000 0.0000 7.7584" Properties=species:S:1:pos:R:3 pbc="T T T"
Y 0.0000 0.0000 0.0000
Cd 0.0000 0.0000 3.8792
Tc 0.0000 3.5611 1.8366
Tc 3.0840 1.7806 5.9217
O 0.0000 1.8782 1.2571
O -1.4574 4.4026 1.2571
O 0.0000 3.5611 3.5624
O 1.6266 0.9391 6.5013
O 1.4574 4.4026 1.2571
O 3.0840 1.7806 4.1960
O 4.5414 0.9391 6.5013
O 3.0840 3.4634 6.5013
```

Computed properties:
- Formation energy from raw total energies: -1.673 eV/atom
- Total DFT energy (no corrections): -87.851 eV per cell
- Magnetic moment: 0.00 μB/f.u.